# Cu2AsPdSe4 (PBE, optimized geometry)
data_Cu2AsPdSe4
_chemical_formula_sum 'Cu4 As2 Pd2 Se8'
_cell_length_a 5.602
_cell_length_b 5.602
_cell_length_c 11.676
_cell_angle_alpha 90.00
_cell_angle_beta 90.00
_cell_angle_gamma 90.00
_symmetry_space_group_name_H-M 'I -4'
_symmetry_Int_Tables_number 82
loop_
_symmetry_equiv_pos_as_xyz
'x,y,z'
'y,-x,-z'
'-x,-y,z'
'-y,x,-z'
'x+1/2,y+1/2,z+1/2'
'y+1/2,-x+1/2,-z+1/2'
'-x+1/2,-y+1/2,z+1/2'
'-y+1/2,x+1/2,-z+1/2'
loop_
_atom_site_label
_atom_site_type_symbol
_atom_site_fract_x
_atom_site_fract_y
_atom_site_fract_z
Cu1 Cu 0.000 0.000 0.000
Cu2 Cu 0.000 0.500 0.250
As1 As 0.000 0.500 0.750
Pd1 Pd 0.000 0.000 0.500
Se1 Se 0.236 0.254 0.123
# DOS at the Fermi energy: 0.6481 states/eV per atom
# ΔE_f (raw): -117.9 meV per atom
# VASP energy: -4.11 eV per atom